No. 1
# CePmNiHg (PBE, optimized geometry)
data_CePmNiHg
_cell_length_a 5.175
_cell_length_b 5.175
_cell_length_c 5.175
_cell_angle_alpha 60.00
_cell_angle_beta 60.00
_cell_angle_gamma 60.00
_space_group_name_H-M_alt 'P 1'
_space_group_IT_number 1
loop_
_space_group_symop_operation_xyz
'x,y,z'
loop_
_atom_site_label
_atom_site_fract_x
_atom_site_fract_y
_atom_site_fract_z
Ce1 0.000 0.000 0.000
Pm1 0.500 0.500 0.500
Hg1 0.750 0.750 0.750
Ni1 0.250 0.250 0.250
# - Formation energy from the elements: -205 meV/atom
# - Raw total energy: -4.397 eV/atom
# - Magnetic moment: 0.78 Bohr magnetons per cell



No. 2
# LaNi2Ag2 (PBE, optimized geometry)
data_LaNi2Ag2
_cell_length_a 4.046
_cell_length_b 4.046
_cell_length_c 6.449
_cell_angle_alpha 71.72
_cell_angle_beta 71.72
_cell_angle_gamma 90.00
_space_group_name_H-M_alt 'P 1'
_space_group_IT_number 1
loop_
_space_group_symop_operation_xyz
'x,y,z'
loop_
_atom_site_label
_atom_site_fract_x
_atom_site_fract_y
_atom_site_fract_z
Ni1 0.598 0.598 0.804
Ni2 0.402 0.402 0.196
Ag1 0.750 0.250 0.500
Ag2 0.250 0.750 0.500
La1 0.000 0.000 0.000
# - Formation energy from the elements: -155 meV/atom
# - Raw total energy: -4.594 eV/atom
# - Magnetic moment: 0.00 Bohr magnetons per cell